# K2LiCl PBE-GGA relaxed
data_K2LiCl
_cell_length_a 4.1402
_cell_length_b 4.1402
_cell_length_c 33.0472
_cell_angle_alpha 90.00
_cell_angle_beta 90.00
_cell_angle_gamma 120.00
_space_group_name_H-M_alt 'R 3 m'
_space_group_IT_number 160
_space_group_name_Hall 'R 3 -2"'
loop_
_atom_site_label
_atom_site_type_symbol
_atom_site_fract_x
_atom_site_fract_y
_atom_site_fract_z
K1 K 0.0000 0.0000 0.0000
K2 K 0.0000 0.0000 0.2101
Li1 Li 0.0000 0.0000 0.7751
Cl1 Cl 0.0000 0.0000 0.4716
# Fermi-level density of states (states/eV/atom): 0.572
# E_form (uncorrected) (eV/f.u.): -3.10
# Calculated total energy (eV for the cell shown): -27.18
# Energy relative to the lowest polymorph listed for this composition (eV/atom): 0.042